# NdGa2Sn GGA-PBE relaxed
# **Crystal system**: tetragonal
# **Energy above the lowest structure with this stoichiometry**: 0.0 meV per atom
# **Calculated formation energy**: -0.5155 eV per atom
# **ρ**: 7.3 g/cm³
# **Fermi-level density of states**: 0.451 states/eV/atom
data_NdGa2Sn
_chemical_formula_sum 'Nd1 Ga2 Sn1'
_space_group_name_H-M_alt 'P 1'
_space_group_IT_number 1
_cell_length_a 4.401
_cell_length_b 4.569
_cell_length_c 4.569
_cell_angle_alpha 90.00
_cell_angle_beta 90.00
_cell_angle_gamma 90.00
loop_
_space_group_symop_operation_xyz
'x,y,z'
loop_
_atom_site_label
_atom_site_type_symbol
_atom_site_fract_x
_atom_site_fract_y
_atom_site_fract_z
_atom_site_occupancy
Nd1 Nd 0.500 0.500 0.500 1
Sn1 Sn 0.500 0.000 0.000 1
Ga1 Ga 0.000 0.000 0.500 1
Ga2 Ga 0.000 0.500 0.000 1